No. 1
CsHf2Nb: relaxed, PBE-GGA.

Geometry as POSCAR:
```
CsHf2Nb
1.0
8.0322 0.0000 0.0000
0.0000 8.0322 0.0000
4.0161 4.0161 5.7318
Cs Nb Hf
2 2 4
Cartesian
0.0000 0.0000 0.0000
8.0322 4.0161 2.8659
4.0161 4.0161 0.0000
4.0161 8.0322 2.8659
4.0161 2.0081 1.4330
4.0161 6.0242 1.4330
6.0242 8.0322 4.2989
10.0403 8.0322 4.2989
```

Energy above the most stable polymorph in this dataset (eV/f.u.): 0.953
SG: No. 141
Calculated formation energy (meV per atom): 1515



No. 2
BaEuAsAu: relaxed, PBE-GGA.

Geometry as POSCAR:
```
BaEuAsAu
1.0
-5.0002 1.9580 -1.1975
-4.4802 -2.4842 2.0067
-2.9966 2.4634 3.9015
Eu As Au Ba
1 1 1 1
Cartesian
-9.3578 1.4529 3.5330
-6.2385 0.9686 2.3554
0.0000 0.0000 0.0000
-3.1193 0.4843 1.1777
```

SG: No. 216
Calculated formation energy (meV per atom): -926



No. 3
K2TlSiN: relaxed, PBE-GGA.

Geometry as POSCAR:
```
K2TlSiN
1.0
-0.3266 -6.6928 0.7568
4.1244 -0.2997 -0.8705
1.4323 0.6713 6.5552
Tl Si K N
1 1 2 1
Cartesian
0.0000 0.0000 0.0000
2.6150 -3.1606 3.2207
0.7162 0.3356 3.2776
-0.1633 -3.3464 0.3784
2.0622 -0.1499 -0.4352
```

SG: No. 123
ΔE_f (raw) (eV/atom): 0.9519



No. 4
ScSnPd: relaxed, PBE-GGA.

Geometry as POSCAR:
```
ScSnPd
1.0
3.3121 0.0000 0.0000
0.0000 4.5847 0.0000
0.0000 -2.2924 3.9705
Sc Sn Pd
1 1 1
Cartesian
2.2083 2.2924 1.3235
0.5519 0.0000 0.0000
0.5518 0.0000 2.6470
```

SG: No. 187
Calculated formation energy (meV per atom): -777



Number 1: raw total energy -6.1927 eV per atom. Number 2: raw total energy -5.9566 eV per atom. Number 3: raw total energy -2.7100 eV per atom. Number 4: raw total energy -5.9523 eV per atom.